Pr2NpSe3: relaxed, PBE-GGA.

## Properties
Magnetic moment   4.7 μB/cell
Formation energy from raw total energies   -1.583 eV/atom
Theoretical density   7.9 g cm⁻³

a b c (Å): 4.2132 4.2132 9.4401
angles (deg): 102.90 102.90 89.99
With the nearest neighbours (Å) after each atom.
Element x y z (fractional)
Pr 0.1017 0.1030 0.2088  6 Se 2.98-3.02
Pr 0.7669 0.7682 0.5391  6 Se 2.98-3.02
Np 0.4341 0.4359 0.8740  6 Se 2.94-2.98
Se 0.9341 0.9359 0.8740  4 Np 2.98, 2 Pr 3.00
Se 0.2704 0.2717 0.5461  1 Np 2.94, 5 Pr 2.98-3.02
Se 0.5982 0.5995 0.2018  1 Np 2.94, 5 Pr 2.98-3.02

Pr5Np2Se12: relaxed, PBE-GGA.

## Properties
Magnetic moment   5.0 μB/cell
Formation energy from raw total energies   -1.541 eV/atom
Theoretical density   6.0 g cm⁻³

a b c (Å): 7.8418 9.0832 9.5362
angles (deg): 105.73 90.00 115.57
With the nearest neighbours (Å) after each atom.
Element x y z (fractional)
Pr 0.2945 0.5890 0.6376  7 Se 3.03-3.18
Pr 0.3133 0.6267 0.1759  7 Se 3.02-3.18
Pr 0.0000 0.0000 0.5000  6 Se 2.91-3.05
Pr 0.6867 0.3733 0.8241  7 Se 3.02-3.18
Pr 0.7055 0.4110 0.3624  7 Se 3.03-3.18
Np 0.7451 0.0000 0.0000  6 Se 2.72-2.82
Np 0.2549 0.0000 0.0000  6 Se 2.72-2.82
Se 0.9958 0.9916 0.1926  2 Np 2.73, 1 Pr 2.91
Se 0.0923 0.6519 0.9104  1 Np 2.72, 1 Pr 3.02
Se 0.5597 0.6519 0.9104  1 Np 2.72, 1 Pr 3.02
Se 0.1044 0.7037 0.4344  4 Pr 3.03-3.08
Se 0.5993 0.7037 0.4344  4 Pr 3.03-3.08
Se 0.4964 0.9928 0.7822  2 Np 2.82, 1 Pr 3.02
Se 0.5036 0.0072 0.2178  2 Np 2.82, 1 Pr 3.02
Se 0.8956 0.2963 0.5656  4 Pr 3.03-3.08
Se 0.4007 0.2963 0.5656  4 Pr 3.03-3.08
Se 0.9077 0.3481 0.0896  1 Np 2.72, 1 Pr 3.02
Se 0.4403 0.3481 0.0896  1 Np 2.72, 1 Pr 3.02
Se 0.0042 0.0084 0.8074  2 Np 2.73, 1 Pr 2.91

Pr3NpSe6: relaxed, PBE-GGA.

## Properties
Magnetic moment   8.0 μB/cell
Formation energy from raw total energies   -1.619 eV/atom
Theoretical density   6.2 g cm⁻³

a b c (Å): 7.3462 9.1725 9.1725
angles (deg): 102.28 90.00 90.00
With the nearest neighbours (Å) after each atom.
Element x y z (fractional)
Pr 0.4878 0.9163 0.7045  6 Se 2.94-3.12
Pr 0.9878 0.7045 0.9163  6 Se 2.94-3.12
Pr 0.3795 0.4027 0.5973  7 Se 3.03-3.08
Pr 0.8795 0.5973 0.4027  7 Se 3.03-3.08
Pr 0.9878 0.0837 0.2955  6 Se 2.94-3.12
Pr 0.4878 0.2955 0.0837  6 Se 2.94-3.12
Np 0.9944 0.1626 0.8374  5 Se 2.80-3.00
Np 0.4944 0.8374 0.1626  5 Se 2.80-3.00
Se 0.1780 0.6969 0.6326  4 Pr 2.94-3.05
Se 0.6780 0.6326 0.6969  4 Pr 2.94-3.05
Se 0.1973 0.4272 0.9038  1 Np 2.80, 3 Pr 2.95-3.10
Se 0.6973 0.9038 0.4272  1 Np 2.80, 3 Pr 2.95-3.10
Se 0.2522 0.0069 0.9931  2 Np 2.92-3.00, 2 Pr 3.12
Se 0.6330 0.2310 0.7690  1 Np 2.83, 3 Pr 3.02-3.08
Se 0.1330 0.7690 0.2310  1 Np 2.83, 3 Pr 3.02-3.08
Se 0.7522 0.9931 0.0069  2 Np 2.92-3.00, 2 Pr 3.12
Se 0.1973 0.0962 0.5728  1 Np 2.80, 3 Pr 2.95-3.10
Se 0.6973 0.5728 0.0962  1 Np 2.80, 3 Pr 2.95-3.10
Se 0.1780 0.3674 0.3031  4 Pr 2.94-3.05
Se 0.6780 0.3031 0.3674  4 Pr 2.94-3.05

Pr4NpSe5: relaxed, PBE-GGA.

## Properties
Magnetic moment   4.5 μB/cell
Formation energy from raw total energies   -1.685 eV/atom
Theoretical density   7.4 g cm⁻³

a b c (Å): 4.2329 4.2329 15.2940
angles (deg): 97.95 97.95 90.00
With the nearest neighbours (Å) after each atom.
Element x y z (fractional)
Pr 0.3997 0.3997 0.7994  6 Se 2.99-3.04
Pr 0.8033 0.8033 0.6067  6 Se 2.99-3.05
Pr 0.1967 0.1967 0.3933  6 Se 2.99-3.05
Pr 0.6003 0.6003 0.2006  6 Se 2.99-3.04
Np 0.0000 0.0000 0.0000  6 Se 2.91-2.99
Se 0.0970 0.0970 0.1940  1 Np 2.91, 5 Pr 2.99
Se 0.5000 0.5000 0.0000  4 Np 2.99, 2 Pr 3.01
Se 0.9030 0.9030 0.8060  1 Np 2.91, 5 Pr 2.99
Se 0.2985 0.2985 0.5970  6 Pr 3.00-3.05
Se 0.7015 0.7015 0.4030  6 Pr 3.00-3.05